The following is a DFT calculation (PBE-GGA) of crystalline Ta2InAs at its relaxed geometry.

Unit cell a=3.434 b=4.858 c=4.487 alpha=90.00 beta=90.00 gamma=90.00
Atoms (fractional coordinates):
1 As 0.500 0.000 0.500
2 In 0.000 0.500 0.500
3 Ta 0.000 0.000 0.000
4 Ta 0.500 0.500 0.000

energy relative to the lowest polymorph listed for this composition = 0.923 eV per formula unit
calculated formation energy = 0.21 eV/atom
volume = 18.7 A^3/atom
symmetry = Pmmm

The following is a DFT calculation (PBE-GGA) of crystalline CrCuSN2 at its relaxed geometry.

Unit cell a=3.570 b=3.570 c=5.080 alpha=90.00 beta=90.00 gamma=90.00
Each line ends with the local moment (μB).
Atoms (fractional coordinates):
1 Cr 0.000 0.000 0.000  -0.19
2 S 0.000 0.000 0.500  0.02
3 Cu 0.500 0.500 0.500  0.03
4 N 0.000 0.500 0.000  0.15
5 N 0.500 0.000 0.000  0.15

energy relative to the lowest polymorph listed for this composition = 0.000 eV per formula unit
raw formation energy = 2.48 eV/f.u.
volume = 13.0 A^3/atom
symmetry = P4/mmm

The following is a DFT calculation (PBE-GGA) of crystalline CdTeSe at its relaxed geometry.

Unit cell a=6.350 b=6.350 c=6.350 alpha=147.13 beta=147.13 gamma=47.18
Atoms (fractional coordinates):
1 Cd 0.975 0.975 0.000
2 Se 0.362 0.362 0.000
3 Te 0.664 0.664 0.000

energy relative to the lowest polymorph listed for this composition = 1.296 eV per formula unit
raw formation energy = 0.37 eV/f.u.
volume = 25.0 A^3/atom
symmetry = I4mm

The highest volume belongs to which entry? CdTeSe

volume of number 1 (Ta2InAs)? 18.7 A^3/atom